(1)
The following is a PBE calculation of an optimized crystal structure of LuCdBi2, from OQMD.

a b c (Å): 5.4464 5.4464 5.4464
angles (deg): 60.00 60.00 60.00
Fractional coordinates of all 4 atoms:
Lu: 0.7500 0.7500 0.7500
Cd: 0.5000 0.5000 0.5000
Bi: 0.0000 0.0000 0.0000
Bi: 0.2500 0.2500 0.2500

Properties
Total DFT energy (no corrections) ... -3.461 eV/atom

(2)
The following is a PBE calculation of an optimized crystal structure of SmPuIr, from OQMD.

a b c (Å): 4.7865 4.7865 4.7865
angles (deg): 60.00 60.00 60.00
Fractional coordinates of all 3 atoms:
Ir: 0.0000 0.0000 0.0000
Pu: 0.7500 0.7500 0.7500
Sm: 0.2500 0.2500 0.2500

Properties
ΔH_f (0 K) ... -0.45 eV per atom
Distance to the lowest polymorph of the same formula ... 0 meV/atom

(3)
The following is a PBE calculation of an optimized crystal structure of Pm2Os, from OQMD.

a b c (Å): 5.8965 5.8965 5.8965
angles (deg): 60.00 60.00 60.00
Last column: magnetic moment on the atom in μB.
Fractional coordinates of all 6 atoms:
Pm: 0.6250 0.6250 0.1250  -0.08
Pm: 0.6250 0.1250 0.6250  -0.08
Os: 0.2500 0.2500 0.2500  0.46
Pm: 0.6250 0.6250 0.6250  -0.07
Pm: 0.1250 0.6250 0.6250  -0.05
Os: 0.0000 0.0000 0.0000  0.46

Properties
ΔH_f (0 K) ... 1.27 eV per atom
Distance to the lowest polymorph of the same formula ... 95 meV/atom

(4)
The following is a PBE calculation of an optimized crystal structure of Li2LaLuSn2Pd2, from OQMD.

a b c (Å): 4.8192 4.8192 6.8295
angles (deg): 90.00 90.00 90.00
Fractional coordinates of all 8 atoms:
Li: 0.0000 0.5000 0.7369
Li: 0.5000 0.0000 0.2631
Lu: 0.5000 0.5000 0.5000
Pd: 0.0000 0.5000 0.2699
La: 0.0000 0.0000 0.0000
Pd: 0.5000 0.0000 0.7301
Sn: 0.0000 0.0000 0.5000
Sn: 0.5000 0.5000 0.0000

Properties
Total DFT energy (no corrections) ... -4.720 eV/atom

(5)
The following is a PBE calculation of an optimized crystal structure of CdGeAsO, from OQMD.

a b c (Å): 3.9188 3.9188 9.6705
angles (deg): 90.00 90.00 90.00
Fractional coordinates of all 8 atoms:
Ge: 0.5000 0.0000 0.9026
O: 0.0000 0.0000 0.0000
Cd: 0.5000 0.5000 0.5000
As: 0.5000 0.0000 0.3002
O: 0.5000 0.5000 0.0000
Cd: 0.0000 0.0000 0.5000
As: 0.0000 0.5000 0.6998
Ge: 0.0000 0.5000 0.0974

Properties
Distance to the lowest polymorph of the same formula ... 108 meV/atom

(6)
The following is a PBE calculation of an optimized crystal structure of KPbAu3Se4, from OQMD.

a b c (Å): 6.6613 6.6613 6.6613
angles (deg): 90.00 90.00 90.00
Fractional coordinates of all 9 atoms:
Au: 0.0000 0.5000 0.5000
Au: 0.5000 0.5000 0.0000
Se: 0.2716 0.7284 0.7284
Se: 0.7284 0.2716 0.7284
Pb: 0.5000 0.5000 0.5000
Se: 0.7284 0.7284 0.2716
Se: 0.2716 0.2716 0.2716
K: 0.0000 0.0000 0.0000
Au: 0.5000 0.0000 0.5000

Properties
Total DFT energy (no corrections) ... -3.194 eV/atom

(7)
The following is a PBE calculation of an optimized crystal structure of Dy2Er3Lu2Cu2Te2, from OQMD.

a b c (Å): 9.2298 9.2298 9.2298
angles (deg): 155.29 67.80 117.99
Fractional coordinates of all 11 atoms:
Te: 0.8360 0.3360 0.5000
Lu: 0.5617 0.3770 0.1847
Er: 0.4968 0.9968 0.5000
Lu: 0.1923 0.3770 0.8153
Cu: 0.8031 0.0668 0.7363
Te: 0.2331 0.2331 0.0000
Er: 0.9518 0.5827 0.3691
Cu: 0.3305 0.0668 0.2637
Dy: 0.8792 0.7346 0.1446
Dy: 0.5900 0.7346 0.8554
Er: 0.2137 0.5827 0.6309

Properties
Total DFT energy (no corrections) ... -4.726 eV/atom

(8)
The following is a PBE calculation of an optimized crystal structure of Ho2ErZn3Cu3, from OQMD.

a b c (Å): 3.8599 7.0396 7.0396
angles (deg): 120.00 90.00 90.00
Fractional coordinates of all 9 atoms:
Zn: 0.5000 0.2427 0.0005
Cu: 0.5000 0.3336 0.6658
Ho: 0.0000 0.0000 0.5876
Cu: 0.0000 0.0005 0.0005
Zn: 0.5000 0.0005 0.2427
Cu: 0.5000 0.6658 0.3336
Ho: 0.0000 0.5876 0.0000
Er: 0.0000 0.4123 0.4123
Zn: 0.5000 0.7571 0.7571

Properties
ΔH_f (0 K) ... -0.34 eV per atom

(9)
The following is a PBE calculation of an optimized crystal structure of Y3TmTe2C2, from OQMD.

a b c (Å): 3.8264 3.8264 13.9916
angles (deg): 90.00 90.00 120.00
Fractional coordinates of all 8 atoms:
Y: 0.0000 0.0000 0.5948
Te: 0.0000 0.0000 0.2489
Y: 0.6667 0.3333 0.0917
C: 0.3333 0.6667 0.5005
Te: 0.6667 0.3333 0.7530
Y: 0.6667 0.3333 0.4067
C: 0.3333 0.6667 0.9973
Tm: 0.0000 0.0000 0.9070

Properties
Total DFT energy (no corrections) ... -6.960 eV/atom

(10)
The following is a PBE calculation of an optimized crystal structure of In4Au9, from OQMD.

a b c (Å): 10.0941 10.0941 10.0941
angles (deg): 90.00 90.00 90.00
Fractional coordinates of all 52 atoms:
Au: 0.0000 0.6433 0.0000
Au: 0.1822 0.4717 0.8178
Au: 0.1822 0.1822 0.5283
In: 0.6245 0.3755 0.3755
Au: 0.8178 0.8178 0.5283
In: 0.9659 0.6900 0.3100
Au: 0.0000 0.0000 0.6433
Au: 0.0000 0.0000 0.3567
Au: 0.8934 0.8934 0.1066
Au: 0.1418 0.5000 0.5000
Au: 0.1066 0.1066 0.1066
Au: 0.8178 0.1822 0.4717
Au: 0.8178 0.4717 0.1822
In: 0.3755 0.6245 0.3755
Au: 0.5283 0.8178 0.8178
Au: 0.0000 0.3567 0.0000
In: 0.6900 0.0341 0.6900
In: 0.3100 0.3100 0.0341
Au: 0.6433 0.0000 0.0000
Au: 0.4717 0.1822 0.8178
Au: 0.5000 0.1418 0.5000
Au: 0.5000 0.5000 0.8582
Au: 0.5283 0.1822 0.1822
Au: 0.5000 0.5000 0.1418
In: 0.3100 0.6900 0.9659
Au: 0.8934 0.1066 0.8934
Au: 0.4717 0.8178 0.1822
In: 0.6900 0.6900 0.0341
In: 0.6900 0.3100 0.9659
Au: 0.8237 0.1763 0.1763
Au: 0.5000 0.8582 0.5000
Au: 0.1763 0.8237 0.1763
Au: 0.1822 0.8178 0.4717
Au: 0.6687 0.6687 0.3313
In: 0.0341 0.6900 0.6900
In: 0.3755 0.3755 0.6245
In: 0.3100 0.0341 0.3100
Au: 0.8582 0.5000 0.5000
Au: 0.3567 0.0000 0.0000
In: 0.9659 0.3100 0.6900
Au: 0.1822 0.5283 0.1822
In: 0.6900 0.9659 0.3100
Au: 0.8237 0.8237 0.8237
Au: 0.1763 0.1763 0.8237
In: 0.6245 0.6245 0.6245
Au: 0.1066 0.8934 0.8934
Au: 0.3313 0.6687 0.6687
Au: 0.8178 0.5283 0.8178
In: 0.3100 0.9659 0.6900
Au: 0.3313 0.3313 0.3313
In: 0.0341 0.3100 0.3100
Au: 0.6687 0.3313 0.6687

Properties
Distance to the lowest polymorph of the same formula ... 0 meV/atom

(11)
The following is a PBE calculation of an optimized crystal structure of NbCdFeBi, from OQMD.

a b c (Å): 4.8232 4.8232 4.8232
angles (deg): 60.00 60.00 60.00
Fractional coordinates of all 4 atoms:
Nb: 0.5000 0.5000 0.5000
Fe: 0.7500 0.7500 0.7500
Cd: 0.2500 0.2500 0.2500
Bi: 0.0000 0.0000 0.0000

Properties
Distance to the lowest polymorph of the same formula ... 43 meV/atom

(12)
The following is a PBE calculation of an optimized crystal structure of Zr5O2, from OQMD.

a b c (Å): 7.6914 7.6914 6.1443
angles (deg): 103.88 103.88 43.26
Fractional coordinates of all 14 atoms:
Zr: 0.6173 0.7823 0.6506
O: 0.5956 0.1029 0.7011
Zr: 0.9786 0.8164 0.5474
Zr: 0.7823 0.6173 0.1506
Zr: 0.0214 0.1836 0.4526
Zr: 0.2177 0.3827 0.8494
Zr: 0.1836 0.0214 0.9526
O: 0.4044 0.8971 0.2989
O: 0.8971 0.4044 0.7989
Zr: 0.8164 0.9786 0.0474
Zr: 0.5919 0.4081 0.7500
O: 0.1029 0.5956 0.2011
Zr: 0.4081 0.5919 0.2500
Zr: 0.3827 0.2177 0.3494

Properties
Total DFT energy (no corrections) ... -9.066 eV/atom

(13)
The following is a PBE calculation of an optimized crystal structure of LiAl2Pd, from OQMD.

a b c (Å): 5.0763 7.2999 7.2244
angles (deg): 90.00 90.00 90.00
Fractional coordinates of all 16 atoms:
Li: 0.3904 0.2500 0.0291
Pd: 0.6192 0.2500 0.3744
Pd: 0.1192 0.7500 0.1256
Li: 0.8904 0.7500 0.4709
Al: 0.5892 0.0571 0.6720
Al: 0.9108 0.0571 0.1720
Al: 0.9108 0.4429 0.1720
Al: 0.4108 0.9429 0.3280
Pd: 0.3808 0.7500 0.6256
Al: 0.0892 0.9429 0.8280
Pd: 0.8808 0.2500 0.8744
Al: 0.4108 0.5571 0.3280
Al: 0.0892 0.5571 0.8280
Li: 0.1096 0.2500 0.5291
Li: 0.6096 0.7500 0.9709
Al: 0.5892 0.4429 0.6720

Properties
Distance to the lowest polymorph of the same formula ... 96 meV/atom

(14)
The following is a PBE calculation of an optimized crystal structure of MgZrAgPt, from OQMD.

a b c (Å): 4.6560 4.6560 4.6560
angles (deg): 60.00 60.00 60.00
Fractional coordinates of all 4 atoms:
Mg: 0.7500 0.7500 0.7500
Pt: 0.0000 0.0000 0.0000
Zr: 0.5000 0.5000 0.5000
Ag: 0.2500 0.2500 0.2500

Properties
Distance to the lowest polymorph of the same formula ... 311 meV/atom

(15)
The following is a PBE calculation of an optimized crystal structure of HfSi2Ag, from OQMD.

a b c (Å): 4.6230 4.6230 4.6230
angles (deg): 60.00 60.00 60.00
Fractional coordinates of all 4 atoms:
Si: 0.2500 0.2500 0.2500
Si: 0.5000 0.5000 0.5000
Hf: 0.0000 0.0000 0.0000
Ag: 0.7500 0.7500 0.7500

Properties
Total DFT energy (no corrections) ... -5.643 eV/atom

(16)
The following is a PBE calculation of an optimized crystal structure of NdYIn2Pd4, from OQMD.

a b c (Å): 4.6358 4.6358 9.0359
angles (deg): 90.00 90.00 120.00
Fractional coordinates of all 8 atoms:
Pd: 0.3333 0.6667 0.3386
Pd: 0.3333 0.6667 0.6614
Y: 0.0000 0.0000 0.5000
Nd: 0.3333 0.6667 0.0000
Pd: 0.0000 0.0000 0.8303
Pd: 0.0000 0.0000 0.1697
In: 0.6667 0.3333 0.2535
In: 0.6667 0.3333 0.7465

Properties
Total DFT energy (no corrections) ... -5.480 eV/atom

(17)
The following is a PBE calculation of an optimized crystal structure of NdTe2, from OQMD.

a b c (Å): 9.7693 9.7693 9.7693
angles (deg): 60.00 60.00 60.00
Last column: magnetic moment on the atom in μB.
Fractional coordinates of all 6 atoms:
Te: 0.3750 0.8750 0.3750  0.27
Te: 0.3750 0.3750 0.8750  0.30
Te: 0.3750 0.3750 0.3750  0.27
Nd: 0.2500 0.2500 0.2500  -0.03
Te: 0.8750 0.3750 0.3750  0.18
Nd: 0.5000 0.5000 0.5000  -0.03

Properties
Total DFT energy (no corrections) ... -4.174 eV/atom

(18)
The following is a PBE calculation of an optimized crystal structure of Ag2Pd2Au, from OQMD.

a b c (Å): 7.0488 7.0488 7.0488
angles (deg): 149.27 149.27 44.01
Fractional coordinates of all 5 atoms:
Pd: 0.7500 0.2500 0.5000
Ag: 0.5989 0.5989 0.0000
Ag: 0.4011 0.4011 0.0000
Au: 0.0000 0.0000 0.0000
Pd: 0.2500 0.7500 0.5000

Properties
ΔH_f (0 K) ... 0.26 eV per atom
Distance to the lowest polymorph of the same formula ... 0 meV/atom

(19)
The following is a PBE calculation of an optimized crystal structure of Tm2TlO4, from OQMD.

a b c (Å): 6.7967 6.7967 6.7967
angles (deg): 119.99 90.01 119.99
Last column: magnetic moment on the atom in μB.
Fractional coordinates of all 14 atoms:
O: 0.5707 0.7138 0.8569  0.08
O: 0.6068 0.2138 0.3931  0.07
O: 0.1431 0.7138 0.8568  0.08
O: 0.1432 0.2862 0.8569  0.07
O: 0.1793 0.7862 0.3931  0.08
O: 0.1431 0.2862 0.4293  0.07
O: 0.6069 0.2138 0.8207  0.07
Tl: 0.0000 0.0000 0.0000  0.16
Tm: 0.3750 0.2500 0.6250  0.02
Tm: 0.3750 0.7500 0.1250  0.01
Tm: 0.8750 0.2500 0.6250  0.02
Tm: 0.3750 0.7500 0.6250  0.01
Tl: 0.7500 0.5000 0.2500  0.17
O: 0.6069 0.7862 0.3932  0.08

Properties
Total DFT energy (no corrections) ... -7.138 eV/atom

(20)
The following is a PBE calculation of an optimized crystal structure of YPuTe, from OQMD.

a b c (Å): 5.1203 5.1203 5.1203
angles (deg): 60.00 60.00 60.00
Last column: magnetic moment on the atom in μB.
Fractional coordinates of all 3 atoms:
Y: 0.0000 0.0000 0.0000  0.58
Pu: 0.5000 0.5000 0.5000  5.87
Te: 0.2500 0.2500 0.2500  -0.03

Properties
Distance to the lowest polymorph of the same formula ... 0 meV/atom